A geometry-optimized Cu4TeAu structure. Source: the Alexandria database, functional PBE.

The calculation puts the calculated volume at 15.2 Å³/atom. Its total energy is -88.17 eV for the cell shown.

It has space group F-43m (No. 216), with a = 7.1503 Å, b = 7.1503 Å, c = 7.1503 Å, α = 90.00°, β = 90.00° and γ = 90.00°. The inequivalent atoms are Cu at (0.1254, 0.1254, 0.1254), Te at (0.2500, 0.2500, 0.7500) and Au at (0.0000, 0.0000, 0.5000).

=====

A geometry-optimized Cu2TeAu structure. Source: the Alexandria database, functional PBE.

The calculation puts the calculated volume at 17.3 Å³/atom. Its total energy is -27.87 eV for the cell shown.

It has space group Imm2 (No. 44), with a = 3.9228 Å, b = 3.9411 Å, c = 8.9331 Å, α = 90.00°, β = 90.00° and γ = 90.00°. The inequivalent atoms are Cu at (0.0000, 0.0000, 0.0000), Cu at (0.0000, 0.5000, 0.2584), Te at (0.0000, 0.5000, 0.7513) and Au at (0.0000, 0.0000, 0.5033).

=====

A geometry-optimized Cu2TeAu structure. Source: the Alexandria database, functional PBE.

The calculation puts the calculated volume at 18.0 Å³/atom. Its total energy is -53.21 eV for the cell shown.

It has space group F-43m (No. 216), with a = 6.5993 Å, b = 6.5993 Å, c = 6.5993 Å, α = 90.00°, β = 90.00° and γ = 90.00°. The inequivalent atoms are Cu at (0.0000, 0.0000, 0.0000), Cu at (0.2500, 0.2500, 0.2500), Te at (0.0000, 0.0000, 0.5000) and Au at (0.2500, 0.2500, 0.7500).